(1)
ZrSc2Si2 | PBE | relaxed

Cell and atoms, written as CIF:
```
data_ZrSc2Si2
_chemical_formula_sum 'Zr2 Sc4 Si4'
_space_group_name_H-M_alt 'P 4/m b m'
_space_group_IT_number 127
_space_group_name_Hall '-P 4 2ab'
_cell_length_a 7.139
_cell_length_b 7.139
_cell_length_c 3.739
_cell_angle_alpha 90.00
_cell_angle_beta 90.00
_cell_angle_gamma 90.00
loop_
_atom_site_label
_atom_site_fract_x
_atom_site_fract_y
_atom_site_fract_z
_atom_site_occupancy
Zr1 0.000 0.000 0.000 1
Sc1 0.175 0.325 0.500 1
Si1 0.123 0.623 0.000 1
```

Density of states at the Fermi level   9.93 states/eV per cell
VASP energy   -71.35 eV per cell
Formation energy without anion corrections   -723 meV per atom
E above lowest polymorph   0 meV/atom
Crystal system   tetragonal

(2)
Hg4TeBr | PBE | relaxed

Cell and atoms, written as CIF:
```
data_Hg4TeBr
_chemical_formula_sum 'Hg16 Te4 Br4'
_space_group_name_H-M_alt 'F -4 3 m'
_space_group_IT_number 216
_space_group_name_Hall 'F -4 2 3'
_cell_length_a 8.687
_cell_length_b 8.687
_cell_length_c 8.687
_cell_angle_alpha 90.00
_cell_angle_beta 90.00
_cell_angle_gamma 90.00
loop_
_atom_site_label
_atom_site_fract_x
_atom_site_fract_y
_atom_site_fract_z
_atom_site_occupancy
Hg1 0.125 0.125 0.125 1
Te1 0.250 0.250 0.750 1
Br1 0.000 0.000 0.500 1
```

Density of states at the Fermi level   20.54 states/eV per cell
VASP energy   -20.05 eV per cell
Formation energy without anion corrections   168 meV per atom
Crystal system   cubic

(3)
CuNiAgP2 | PBE | relaxed

Cell and atoms, written as CIF:
```
data_CuNiAgP2
_chemical_formula_sum 'Cu1 Ni1 Ag1 P2'
_space_group_name_H-M_alt 'P 4/m m m'
_space_group_IT_number 123
_space_group_name_Hall '-P 4 2'
_cell_length_a 4.373
_cell_length_b 4.373
_cell_length_c 4.484
_cell_angle_alpha 90.00
_cell_angle_beta 90.00
_cell_angle_gamma 90.00
loop_
_atom_site_label
_atom_site_fract_x
_atom_site_fract_y
_atom_site_fract_z
_atom_site_occupancy
Cu1 0.000 0.000 0.000 1
Ni1 0.000 0.000 0.500 1
Ag1 0.500 0.500 0.500 1
P1 0.000 0.500 0.000 1
```

Density of states at the Fermi level   2.35 states/eV per cell
VASP energy   -19.65 eV per cell
Formation energy from the elements   0.780 eV per atom
Crystal system   tetragonal

(4)
SrNiMo2 | PBE | relaxed

Cell and atoms, written as CIF:
```
data_SrNiMo2
_chemical_formula_sum 'Sr4 Ni4 Mo8'
_space_group_name_H-M_alt 'I -4 2 d'
_space_group_IT_number 122
_space_group_name_Hall 'I -4 2bw'
_cell_length_a 4.709
_cell_length_b 4.709
_cell_length_c 17.755
_cell_angle_alpha 90.00
_cell_angle_beta 90.00
_cell_angle_gamma 90.00
loop_
_atom_site_label
_atom_site_fract_x
_atom_site_fract_y
_atom_site_fract_z
_atom_site_occupancy
Sr1 0.000 0.000 0.000 1
Ni1 0.000 0.000 0.500 1
Mo1 0.018 0.250 0.625 1
```

Density of states at the Fermi level   14.99 states/eV per cell
VASP energy   -99.98 eV per cell
E above lowest polymorph   581 meV/atom
Formation energy from the elements   1.033 eV per atom
Crystal system   tetragonal

(5)
SmYPdRu | PBE | relaxed

Cell and atoms, written as CIF:
```
data_SmYPdRu
_chemical_formula_sum 'Sm1 Y1 Pd1 Ru1'
_space_group_name_H-M_alt 'P 4 m m'
_space_group_IT_number 99
_space_group_name_Hall 'P 4 -2'
_cell_length_a 3.469
_cell_length_b 3.469
_cell_length_c 7.104
_cell_angle_alpha 90.00
_cell_angle_beta 90.00
_cell_angle_gamma 90.00
loop_
_atom_site_label
_atom_site_fract_x
_atom_site_fract_y
_atom_site_fract_z
_atom_site_occupancy
Sm1 0.000 0.000 0.000 1
Y1 0.000 0.000 0.479 1
Pd1 0.500 0.500 0.731 1
Ru1 0.500 0.500 0.243 1
```

Density of states at the Fermi level   2.42 states/eV per cell
VASP energy   -28.02 eV per cell
E above lowest polymorph   0 meV/atom
Formation energy from the elements   -0.593 eV per atom
Crystal system   tetragonal

(6)
Pr3Er3Mg | PBE | relaxed

Cell and atoms, written as CIF:
```
data_Pr3Er3Mg
_chemical_formula_sum 'Pr6 Er6 Mg2'
_space_group_name_H-M_alt 'P 63/m'
_space_group_IT_number 176
_space_group_name_Hall '-P 6c'
_cell_length_a 9.6027
_cell_length_b 9.6027
_cell_length_c 5.6591
_cell_angle_alpha 90.00
_cell_angle_beta 90.00
_cell_angle_gamma 120.00
loop_
_atom_site_label
_atom_site_fract_x
_atom_site_fract_y
_atom_site_fract_z
_atom_site_occupancy
Pr1 0.1012 0.6310 0.2500 1
Er1 0.0507 0.8188 0.7500 1
Mg1 0.3333 0.6667 0.7500 1
```

Density of states at the Fermi level   23.19 states/eV per cell
VASP energy   -59.04 eV per cell
E above lowest polymorph   0 meV/atom
Formation energy from the elements   0.014 eV per atom
Crystal system   hexagonal

(7)
AcGd2Er | PBE | relaxed

Cell and atoms, written as CIF:
```
data_AcGd2Er
_chemical_formula_sum 'Ac1 Gd2 Er1'
_space_group_name_H-M_alt 'P 4/m m m'
_space_group_IT_number 123
_space_group_name_Hall '-P 4 2'
_cell_length_a 5.178
_cell_length_b 5.178
_cell_length_c 5.195
_cell_angle_alpha 90.00
_cell_angle_beta 90.00
_cell_angle_gamma 90.00
loop_
_atom_site_label
_atom_site_fract_x
_atom_site_fract_y
_atom_site_fract_z
_atom_site_occupancy
Ac1 0.000 0.000 0.000 1
Gd1 0.000 0.500 0.500 1
Er1 0.500 0.500 0.000 1
```

Density of states at the Fermi level   6.74 states/eV per cell
VASP energy   -36.64 eV per cell
E above lowest polymorph   0 meV/atom
Formation energy from the elements   0.047 eV per atom
Crystal system   tetragonal